(1)
PrHgF3 | PBE | optimized geometry

- Space-group type: No. 221
- VASP energy: -26.25 eV/f.u.

Lattice parameters (Å, degrees): 4.708 4.708 4.708 90.00 90.00 90.00
Fractional positions:
Pr  0.000  0.000  0.000
Hg  0.500  0.500  0.500
F  0.000  0.500  0.000
F  0.000  0.000  0.500
F  0.500  0.000  0.000

=====

(2)
PrHg2F8 | PBE | optimized geometry

- Space-group type: No. 97
- VASP energy: -44.88 eV/f.u.

Lattice parameters (Å, degrees): 5.839 5.839 7.000 114.65 114.65 90.00
Each line ends with the local moment (μB).
Fractional positions:
Pr  0.500  0.500  0.000  0.00
Hg  0.750  0.250  0.500  0.16
Hg  0.250  0.750  0.500  0.16
F  0.805  0.343  0.249  0.09
F  0.094  0.556  0.751  0.09
F  0.657  0.195  0.751  0.09
F  0.195  0.094  0.751  0.09
F  0.444  0.906  0.249  0.09
F  0.906  0.805  0.249  0.09
F  0.343  0.444  0.249  0.09
F  0.556  0.657  0.751  0.09

=====

(3)
Pr2HgF | PBE | optimized geometry

- Polymorph energy (0 for the lowest one): 0.190 eV/atom
- Space-group type: No. 123
- VASP energy: -16.30 eV/f.u.

Lattice parameters (Å, degrees): 3.407 3.407 8.107 90.00 90.00 90.00
Fractional positions:
Pr  0.000  0.000  0.769
Pr  0.000  0.000  0.231
Hg  0.500  0.500  0.500
F  0.500  0.500  0.000

=====

(4)
Pr2HgF | PBE | optimized geometry

- Polymorph energy (0 for the lowest one): 0.000 eV/atom
- Space-group type: No. 166
- VASP energy: -17.06 eV/f.u.

Lattice parameters (Å, degrees): 3.963 3.963 7.737 75.16 75.16 60.00
Fractional positions:
Pr  0.269  0.269  0.192
Pr  0.731  0.731  0.808
Hg  0.500  0.500  0.500
F  0.000  0.000  0.000

=====

(5)
RbPrHgF6 | PBE | optimized geometry

- Space-group type: No. 163
- VASP energy: -42.92 eV/f.u.

Lattice parameters (Å, degrees): 6.422 6.422 10.943 90.00 90.00 120.00
Fractional positions:
Rb  0.000  0.000  0.000
Rb  0.000  0.000  0.500
Pr  0.333  0.667  0.250
Pr  0.667  0.333  0.750
Hg  0.667  0.333  0.250
Hg  0.333  0.667  0.750
F  0.625  0.628  0.142
F  0.004  0.375  0.142
F  0.375  0.004  0.642
F  0.996  0.625  0.858
F  0.372  0.375  0.358
F  0.004  0.628  0.358
F  0.628  0.004  0.858
F  0.625  0.996  0.358
F  0.996  0.372  0.642
F  0.372  0.996  0.142
F  0.628  0.625  0.642
F  0.375  0.372  0.858

=====

(6)
Hg12Pt3F5 | PBE | optimized geometry

- Space-group type: No. 230
- VASP energy: -40.90 eV/f.u.

Lattice parameters (Å, degrees): 13.354 13.354 13.354 109.47 109.47 109.47
Fractional positions:
Pt  0.750  0.375  0.125
Pt  0.875  0.750  0.125
Pt  0.375  0.750  0.625
Pt  0.250  0.125  0.375
Pt  0.875  0.125  0.250
Pt  0.375  0.625  0.250
Pt  0.625  0.375  0.750
Pt  0.125  0.875  0.750
Pt  0.750  0.875  0.625
Pt  0.625  0.250  0.375
Pt  0.125  0.250  0.875
Pt  0.250  0.625  0.875
F  0.125  0.375  0.250
F  0.000  0.500  0.000
F  0.000  0.000  0.000
F  0.375  0.250  0.125
F  0.500  0.000  0.500
F  0.500  0.500  0.000
F  0.125  0.750  0.375
F  0.750  0.125  0.875
F  0.750  0.625  0.375
F  0.375  0.125  0.750
F  0.625  0.875  0.250
F  0.500  0.500  0.500
F  0.500  0.000  0.000
F  0.000  0.000  0.500
F  0.250  0.375  0.625
F  0.250  0.875  0.125
F  0.000  0.500  0.500
F  0.875  0.250  0.625
F  0.625  0.750  0.875
F  0.875  0.625  0.750
Hg  0.731  0.133  0.055
Hg  0.324  0.555  0.423
Hg  0.945  0.367  0.269
Hg  0.555  0.231  0.133
Hg  0.599  0.731  0.676
Hg  0.945  0.577  0.176
Hg  0.324  0.769  0.401
Hg  0.077  0.901  0.133
Hg  0.577  0.945  0.676
Hg  0.731  0.599  0.176
Hg  0.769  0.445  0.367
Hg  0.824  0.923  0.055
Hg  0.133  0.731  0.555
Hg  0.367  0.423  0.099
Hg  0.099  0.923  0.367
Hg  0.401  0.133  0.577
Hg  0.099  0.176  0.231
Hg  0.445  0.676  0.077
Hg  0.824  0.901  0.269
Hg  0.133  0.401  0.077
Hg  0.367  0.945  0.769
Hg  0.577  0.633  0.401
Hg  0.923  0.824  0.555
Hg  0.769  0.324  0.901
Hg  0.423  0.367  0.599
Hg  0.077  0.176  0.445
Hg  0.231  0.676  0.099
Hg  0.176  0.099  0.731
Hg  0.633  0.055  0.231
Hg  0.867  0.599  0.923
Hg  0.555  0.324  0.923
Hg  0.599  0.867  0.423
Hg  0.901  0.824  0.769
Hg  0.901  0.077  0.633
Hg  0.867  0.269  0.445
Hg  0.176  0.077  0.945
Hg  0.633  0.577  0.901
Hg  0.423  0.055  0.324
Hg  0.269  0.401  0.824
Hg  0.231  0.555  0.633
Hg  0.923  0.099  0.867
Hg  0.676  0.231  0.599
Hg  0.445  0.769  0.867
Hg  0.055  0.423  0.824
Hg  0.401  0.269  0.324
Hg  0.055  0.633  0.731
Hg  0.676  0.445  0.577
Hg  0.269  0.867  0.945

=====

Uncorrected formation energy per entry: -15.6, -24.5, -4.6, -5.3, -25.6, -9.8 eV per formula unit